4
Lattice="-0.8477 2.6000 0.5491 -0.8461 0.2822 -2.6428 -6.1309 -2.3603 1.7108" Properties=species:S:1:pos:R:3 comment="PBE MnCoReSe, relaxed" dft_energy_ev_per_atom=-7.822 e_above_lowest_polymorph_mev_per_atom=77 raw_formation_energy_ev_per_fu=0.92 sg=P4mm pbc="T T T"
Mn -0.2740 -0.1055 0.0765
Co -3.3671 -1.2963 0.9396
Re -2.7385 0.7129 -0.5191
Se -5.9306 -0.5160 0.3716



4
Lattice="-2.4059 2.1005 -0.2262 -1.6193 -2.0537 -1.8471 -2.2821 -2.1421 4.3824" Properties=species:S:1:pos:R:3 comment="PBE MnCoReSe, relaxed" dft_energy_ev_per_atom=-7.765 e_above_lowest_polymorph_mev_per_atom=134 raw_formation_energy_ev_per_fu=1.15 sg=P4mm pbc="T T T"
Mn -3.0380 -0.9391 0.9325
Co -4.2449 -2.0720 3.2502
Re -0.4460 -0.4187 0.8566
Se -1.5964 -1.4985 3.0656



4
Lattice="-1.9488 -1.3225 1.7792 2.1417 -0.5114 1.9658 -1.2753 5.7668 2.8896" Properties=species:S:1:pos:R:3 comment="PBE MnCoReSe, relaxed" dft_energy_ev_per_atom=-7.767 e_above_lowest_polymorph_mev_per_atom=131 raw_formation_energy_ev_per_fu=1.14 sg=P4mm pbc="T T T"
Mn -0.0393 0.1776 0.0890
Co -0.2364 0.5882 2.6267
Re -0.6288 2.8436 1.4249
Se -0.8501 3.3633 4.0172



12
Lattice="-0.3691 1.4547 2.4008 -2.2401 -0.7410 -1.5649 -1.7240 -20.6343 12.2378" Properties=species:S:1:pos:R:3 comment="PBE MnCoReSe, relaxed" dft_energy_ev_per_atom=-7.864 e_above_lowest_polymorph_mev_per_atom=35 raw_formation_energy_ev_per_fu=0.75 sg=R3m pbc="T T T"
Mn -1.4233 -17.0358 10.1036
Mn -2.4651 -10.1668 5.7813
Mn -1.2668 -2.5568 3.0239
Co -1.7091 -20.4566 12.1324
Co -2.7509 -13.5876 7.8101
Co -1.5526 -5.9776 5.0528
Re -0.4202 -5.0299 2.9832
Re -3.1860 -18.7952 10.8987
Re -1.9877 -11.1852 8.1413
Se -0.1555 -1.8614 1.1040
Se -2.9213 -15.6267 9.0195
Se -1.7229 -8.0167 6.2621



8
Lattice="4.4635 0.0000 -0.0696 0.0000 2.8709 0.0000 -0.7921 0.0000 8.5011" Properties=species:S:1:pos:R:3 comment="PBE MnCoReSe, relaxed" dft_energy_ev_per_atom=-7.724 e_above_lowest_polymorph_mev_per_atom=174 raw_formation_energy_ev_per_fu=1.31 sg=Cm pbc="T T T"
Mn 1.8179 0.0000 2.4581
Mn 1.4219 1.4355 6.7087
Co 3.0893 0.0000 0.1794
Co 2.6932 1.4355 4.4300
Re 0.6210 0.0000 4.7500
Re 1.0170 1.4355 0.4994
Se 3.5101 0.0000 6.7048
Se 3.9062 1.4355 2.4543



4
Lattice="3.0351 0.0000 0.0042 0.0000 3.0351 0.0000 -0.0082 0.0000 5.8956" Properties=species:S:1:pos:R:3 comment="PBE MnCoReSe, relaxed" dft_energy_ev_per_atom=-7.827 e_above_lowest_polymorph_mev_per_atom=72 raw_formation_energy_ev_per_fu=0.90 sg=P4mm pbc="T T T"
Mn 2.5465 1.5176 3.1286
Co 1.0309 0.0000 1.7891
Re 1.0267 0.0000 4.6355
Se 2.5487 1.5176 0.3465



8
Lattice="-2.5005 -5.6601 4.2752 2.5346 0.9979 2.8037 -2.2414 3.0630 0.9360" Properties=species:S:1:pos:R:3 comment="PBE MnCoReSe, relaxed" dft_energy_ev_per_atom=-7.899 e_above_lowest_polymorph_mev_per_atom=0 raw_formation_energy_ev_per_fu=0.61 sg=Cm pbc="T T T"
Mn -2.2398 2.1735 1.2513
Mn 0.1482 1.1409 2.1851
Co -3.0002 -1.5228 3.2543
Co -0.6122 -2.5553 4.1882
Re -2.6850 -3.9641 3.8383
Re -2.5383 -1.9336 5.7081
Se -1.8225 -0.1552 1.7028
Se -1.6758 1.8752 3.5727



8
Lattice="4.2376 0.0000 0.0228 0.0000 2.8454 0.0000 -4.0308 0.0000 8.8971" Properties=species:S:1:pos:R:3 comment="PBE MnCoReSe, relaxed" dft_energy_ev_per_atom=-7.729 e_above_lowest_polymorph_mev_per_atom=170 raw_formation_energy_ev_per_fu=1.29 sg=Cm pbc="T T T"
Mn -2.3269 0.0000 7.5381
Mn -0.3115 1.4227 3.0896
Co 0.8039 0.0000 5.0491
Co 2.8193 1.4227 0.6006
Re 1.8559 0.0000 2.5668
Re -0.1595 1.4227 7.0153
Se 0.3965 0.0000 0.5787
Se -1.6189 1.4227 5.0272